(1)
The following is a DFT calculation (GGA-PBE) of a relaxed structure of Tb3TmTe3.

abc: 7.865 7.865 7.865
angles: 69.27 69.27 69.27
Sites, in units of the cell vectors:
1 Tb 0.166 0.656 0.422
2 Tb 0.344 0.578 0.834
3 Tb 0.422 0.166 0.656
4 Tb 0.578 0.834 0.344
5 Tb 0.656 0.422 0.166
6 Tb 0.834 0.344 0.578
7 Tm 0.188 0.188 0.188
8 Tm 0.812 0.812 0.812
9 Te 0.034 0.399 0.822
10 Te 0.178 0.966 0.601
11 Te 0.399 0.822 0.034
12 Te 0.601 0.178 0.966
13 Te 0.822 0.034 0.399
14 Te 0.966 0.601 0.178

Energy ... -0.365 Ry per atom
Calculated density ... 8.314 g/cm3
Size of the total moment ... 0.00 μB/atom
V ... 29.34 Å³ per atom
Energy relative to the elements, uncorrected ... -0.9954 eV per atom



(2)
The following is a DFT calculation (GGA-PBE) of a relaxed structure of Tb4TmTe7.

abc: 7.458 7.458 13.170
angles: 103.64 103.64 33.04
Sites, in units of the cell vectors:
1 Tb 0.000 0.000 0.000
2 Tb 0.184 0.184 0.763
3 Tb 0.586 0.586 0.388
4 Tb 0.885 0.885 0.574
5 Tm 0.770 0.770 0.151
6 Te 0.145 0.145 0.224
7 Te 0.224 0.224 0.527
8 Te 0.383 0.383 0.077
9 Te 0.546 0.546 0.624
10 Te 0.629 0.629 0.928
11 Te 0.848 0.848 0.792
12 Te 0.922 0.922 0.356

Energy ... -0.376 Ry per atom
Calculated density ... 7.282 g/cm3
Size of the total moment ... 0.00 μB/atom
V ... 32.26 Å³ per atom
Energy relative to the elements, uncorrected ... -1.3727 eV per atom



(3)
The following is a DFT calculation (GGA-PBE) of a relaxed structure of TbTmTe.

abc: 5.131 5.131 3.943
angles: 90.00 90.00 120.00
Sites, in units of the cell vectors:
1 Tb 0.000 0.000 0.000
2 Tm 0.667 0.333 0.493
3 Te 0.333 0.667 0.282

Offset from the most stable computed form ... 371 meV/atom
Energy ... -0.334 Ry per atom
Calculated density ... 8.412 g/cm3
Size of the total moment ... 0.00 μB/atom
V ... 29.97 Å³ per atom
Energy relative to the elements, uncorrected ... -0.4628 eV per atom



(4)
The following is a DFT calculation (GGA-PBE) of a relaxed structure of Tb2TmTe.

abc: 9.964 9.964 9.964
angles: 22.47 22.47 22.47
Sites, in units of the cell vectors:
1 Tb 0.000 0.000 0.000
2 Tb 0.187 0.187 0.187
3 Tm 0.427 0.427 0.427
4 Te 0.594 0.594 0.594

Offset from the most stable computed form ... 28 meV/atom
Energy ... -0.349 Ry per atom
Calculated density ... 8.051 g/cm3
Size of the total moment ... 0.00 μB/atom
V ... 31.68 Å³ per atom
Energy relative to the elements, uncorrected ... -0.5297 eV per atom



(5)
The following is a DFT calculation (GGA-PBE) of a relaxed structure of Tb2TmTe.

abc: 3.883 3.883 7.728
angles: 90.00 90.00 90.00
Sites, in units of the cell vectors:
1 Tb 0.000 0.000 0.228
2 Tb 0.000 0.000 0.772
3 Tm 0.500 0.500 0.500
4 Te 0.500 0.500 0.000

Offset from the most stable computed form ... 0 meV/atom
Energy ... -0.351 Ry per atom
Calculated density ... 8.754 g/cm3
Size of the total moment ... 0.00 μB/atom
V ... 29.14 Å³ per atom
Energy relative to the elements, uncorrected ... -0.5578 eV per atom



(6)
The following is a DFT calculation (GGA-PBE) of a relaxed structure of Tb2TmTe.

abc: 10.144 10.144 10.144
angles: 21.86 21.86 21.86
Sites, in units of the cell vectors:
1 Tb 0.239 0.239 0.239
2 Tb 0.761 0.761 0.761
3 Tm 0.000 0.000 0.000
4 Te 0.500 0.500 0.500

Offset from the most stable computed form ... 46 meV/atom
Energy ... -0.348 Ry per atom
Calculated density ... 8.042 g/cm3
Size of the total moment ... 0.00 μB/atom
V ... 31.71 Å³ per atom
Energy relative to the elements, uncorrected ... -0.5115 eV per atom